Entry 1:
# DyAl8Au2, relaxed, DFT PBE-GGA
# **Total DFT energy (no corrections)**: -86.76 eV per cell
# **Volume**: 203.8 Å³/f.u.
# **N(E_F)**: 0.290 states/eV per atom
data_DyAl8Au2
_chemical_formula_sum 'Dy2 Al16 Au4'
_cell_length_a 14.239
_cell_length_b 5.646
_cell_length_c 5.072
_cell_angle_alpha 90.00
_cell_angle_beta 91.46
_cell_angle_gamma 90.00
_symmetry_space_group_name_H-M 'C 1 2/m 1'
_symmetry_Int_Tables_number 12
loop_
_symmetry_equiv_pos_as_xyz
'x,y,z'
'-x,-y,-z'
'-x,y,-z'
'x,-y,z'
'x+1/2,y+1/2,z'
'-x+1/2,-y+1/2,-z'
'-x+1/2,y+1/2,-z'
'x+1/2,-y+1/2,z'
loop_
_atom_site_label
_atom_site_type_symbol
_atom_site_fract_x
_atom_site_fract_y
_atom_site_fract_z
Dy1 Dy 0.000 0.000 0.000
Al1 Al 0.096 0.259 0.509
Al2 Al 0.096 0.500 0.006
Al3 Al 0.217 0.000 0.189
Au1 Au 0.243 0.000 0.699

Entry 2:
# Dy2AlCo2, relaxed, DFT PBE-GGA
# **Total DFT energy (no corrections)**: -116.52 eV per cell
# **Volume**: 92.6 Å³/f.u.
# **N(E_F)**: 0.931 states/eV per atom
data_Dy2AlCo2
_chemical_formula_sum 'Dy8 Al4 Co8'
_cell_length_a 9.411
_cell_length_b 5.393
_cell_length_c 7.520
_cell_angle_alpha 90.00
_cell_angle_beta 104.03
_cell_angle_gamma 90.00
_symmetry_space_group_name_H-M 'C 1 2/c 1'
_symmetry_Int_Tables_number 15
loop_
_symmetry_equiv_pos_as_xyz
'x,y,z'
'-x,-y,-z'
'-x,y,-z+1/2'
'x,-y,z+1/2'
'x+1/2,y+1/2,z'
'-x+1/2,-y+1/2,-z'
'-x+1/2,y+1/2,-z+1/2'
'x+1/2,-y+1/2,z+1/2'
loop_
_atom_site_label
_atom_site_type_symbol
_atom_site_fract_x
_atom_site_fract_y
_atom_site_fract_z
Dy1 Dy 0.146 0.147 0.146
Al1 Al 0.000 0.376 0.750
Co1 Co 0.142 0.354 0.506

Entry 3:
# K2LiNp3S8, relaxed, DFT PBE-GGA
# **Total DFT energy (no corrections)**: -281.81 eV per cell
# **Volume**: 427.1 Å³/f.u.
# **N(E_F)**: 1.752 states/eV per atom
# **Formation energy (no corrections)**: -1.28 eV per atom
data_K2LiNp3S8
_chemical_formula_sum 'K6 Li3 Np9 S24'
_cell_length_a 7.9552
_cell_length_b 7.9552
_cell_length_c 23.3764
_cell_angle_alpha 90.00
_cell_angle_beta 90.00
_cell_angle_gamma 120.00
_symmetry_space_group_name_H-M 'R 3 m'
_symmetry_Int_Tables_number 160
_symmetry_space_group_name_Hall 'R 3 -2"'
loop_
_atom_site_label
_atom_site_type_symbol
_atom_site_fract_x
_atom_site_fract_y
_atom_site_fract_z
K1 K 0.0000 0.0000 0.0000
K2 K 0.0000 0.0000 0.3562
Li1 Li 0.0000 0.0000 0.5148
Np1 Np 0.0026 0.5013 0.4997
S1 S 0.0000 0.0000 0.2257
S2 S 0.0000 0.0000 0.7724
S3 S 0.0173 0.5086 0.7737
S4 S 0.1757 0.3514 0.5602

Entry 4:
# Nd6P3HS2, relaxed, DFT PBE-GGA
# **Total DFT energy (no corrections)**: -149.89 eV per cell
# **Volume**: 289.9 Å³/f.u.
# **N(E_F)**: 0.284 states/eV per atom
data_Nd6P3HS2
_chemical_formula_sum 'Nd12 P6 H2 S4'
_cell_length_a 17.731
_cell_length_b 4.113
_cell_length_c 8.163
_cell_angle_alpha 90.00
_cell_angle_beta 103.10
_cell_angle_gamma 90.00
_symmetry_space_group_name_H-M 'C 1 2/m 1'
_symmetry_Int_Tables_number 12
loop_
_symmetry_equiv_pos_as_xyz
'x,y,z'
'-x,-y,-z'
'-x,y,-z'
'x,-y,z'
'x+1/2,y+1/2,z'
'-x+1/2,-y+1/2,-z'
'-x+1/2,y+1/2,-z'
'x+1/2,-y+1/2,z'
loop_
_atom_site_label
_atom_site_type_symbol
_atom_site_fract_x
_atom_site_fract_y
_atom_site_fract_z
Nd1 Nd 0.001 0.000 0.242
Nd2 Nd 0.167 0.500 0.087
Nd3 Nd 0.169 0.500 0.581
P1 P 0.000 0.500 0.000
P2 P 0.167 0.000 0.335
H1 H 0.000 0.500 0.500
S1 S 0.165 0.000 0.831

Entry 5:
# BaRhAu, relaxed, DFT PBE-GGA
# **Total DFT energy (no corrections)**: -13.53 eV per cell
# **Volume**: 82.0 Å³/f.u.
# **N(E_F)**: 0.650 states/eV per atom
# **Distance to the lowest polymorph of the same formula**: 0 meV per atom
data_BaRhAu
_chemical_formula_sum 'Ba1 Rh1 Au1'
_cell_length_a 4.5210
_cell_length_b 4.5210
_cell_length_c 4.6307
_cell_angle_alpha 90.00
_cell_angle_beta 90.00
_cell_angle_gamma 120.00
_symmetry_space_group_name_H-M 'P -6 m 2'
_symmetry_Int_Tables_number 187
_symmetry_space_group_name_Hall 'P -6 2'
loop_
_atom_site_label
_atom_site_type_symbol
_atom_site_fract_x
_atom_site_fract_y
_atom_site_fract_z
Ba1 Ba 0.0000 0.0000 0.0000
Rh1 Rh 0.6667 0.3333 0.5000
Au1 Au 0.3333 0.6667 0.5000

Entry 6:
# TaTi2Be, relaxed, DFT PBE-GGA
# **Total DFT energy (no corrections)**: -31.25 eV per cell
# **Volume**: 61.6 Å³/f.u.
# **N(E_F)**: 1.353 states/eV per atom
# **Distance to the lowest polymorph of the same formula**: 22 meV per atom
data_TaTi2Be
_chemical_formula_sum 'Ta1 Ti2 Be1'
_cell_length_a 3.124
_cell_length_b 3.124
_cell_length_c 6.310
_cell_angle_alpha 90.00
_cell_angle_beta 90.00
_cell_angle_gamma 90.00
_symmetry_space_group_name_H-M 'P 4/m m m'
_symmetry_Int_Tables_number 123
_symmetry_space_group_name_Hall '-P 4 2'
loop_
_atom_site_label
_atom_site_type_symbol
_atom_site_fract_x
_atom_site_fract_y
_atom_site_fract_z
Ta1 Ta 0.000 0.000 0.000
Ti1 Ti 0.500 0.500 0.276
Be1 Be 0.000 0.000 0.500

Entry 7:
# SbSeBr, relaxed, DFT PBE-GGA
# **Total DFT energy (no corrections)**: -10.32 eV per cell
# **Volume**: 105.8 Å³/f.u.
# **N(E_F)**: 0.004 states/eV per atom
# **Formation energy (no corrections)**: -0.35 eV per atom
data_SbSeBr
_chemical_formula_sum 'Sb1 Se1 Br1'
_cell_length_a 4.362
_cell_length_b 3.979
_cell_length_c 6.145
_cell_angle_alpha 90.00
_cell_angle_beta 97.13
_cell_angle_gamma 90.00
_symmetry_space_group_name_H-M 'P 1 m 1'
_symmetry_Int_Tables_number 6
loop_
_symmetry_equiv_pos_as_xyz
'x,y,z'
'x,-y,z'
loop_
_atom_site_label
_atom_site_type_symbol
_atom_site_fract_x
_atom_site_fract_y
_atom_site_fract_z
Sb1 Sb 0.000 0.000 0.000
Se1 Se 0.407 0.500 0.075
Br1 Br 0.906 0.000 0.580

Entry 8:
# CsKNa2, relaxed, DFT PBE-GGA
# **Total DFT energy (no corrections)**: -4.47 eV per cell
# **Volume**: 246.5 Å³/f.u.
# **N(E_F)**: 0.661 states/eV per atom
# **Distance to the lowest polymorph of the same formula**: 8 meV per atom
data_CsKNa2
_chemical_formula_sum 'Cs1 K1 Na2'
_cell_length_a 4.956
_cell_length_b 4.956
_cell_length_c 10.035
_cell_angle_alpha 90.00
_cell_angle_beta 90.00
_cell_angle_gamma 90.00
_symmetry_space_group_name_H-M 'P 4/m m m'
_symmetry_Int_Tables_number 123
_symmetry_space_group_name_Hall '-P 4 2'
loop_
_atom_site_label
_atom_site_type_symbol
_atom_site_fract_x
_atom_site_fract_y
_atom_site_fract_z
Cs1 Cs 0.000 0.000 0.000
K1 K 0.000 0.000 0.500
Na1 Na 0.500 0.500 0.289

Entry 9:
# Ba12SrAu6, relaxed, DFT PBE-GGA
# **Total DFT energy (no corrections)**: -106.30 eV per cell
# **Volume**: 892.0 Å³/f.u.
# **N(E_F)**: 0.990 states/eV per atom
# **Distance to the lowest polymorph of the same formula**: 0 meV per atom
data_Ba12SrAu6
_chemical_formula_sum 'Ba24 Sr2 Au12'
_cell_length_a 12.128
_cell_length_b 12.128
_cell_length_c 12.128
_cell_angle_alpha 90.00
_cell_angle_beta 90.00
_cell_angle_gamma 90.00
_symmetry_space_group_name_H-M 'I m -3'
_symmetry_Int_Tables_number 204
_symmetry_space_group_name_Hall '-I 2 2 3'
loop_
_atom_site_label
_atom_site_type_symbol
_atom_site_fract_x
_atom_site_fract_y
_atom_site_fract_z
Ba1 Ba 0.000 0.318 0.179
Sr1 Sr 0.000 0.000 0.000
Au1 Au 0.000 0.122 0.500

Entry 10:
# CaHo2Er, relaxed, DFT PBE-GGA
# **Total DFT energy (no corrections)**: -15.14 eV per cell
# **Volume**: 130.2 Å³/f.u.
# **N(E_F)**: 1.738 states/eV per atom
# **Distance to the lowest polymorph of the same formula**: 79 meV per atom
data_CaHo2Er
_chemical_formula_sum 'Ca1 Ho2 Er1'
_cell_length_a 5.074
_cell_length_b 5.074
_cell_length_c 5.058
_cell_angle_alpha 90.00
_cell_angle_beta 90.00
_cell_angle_gamma 90.00
_symmetry_space_group_name_H-M 'P 4/m m m'
_symmetry_Int_Tables_number 123
_symmetry_space_group_name_Hall '-P 4 2'
loop_
_atom_site_label
_atom_site_type_symbol
_atom_site_fract_x
_atom_site_fract_y
_atom_site_fract_z
Ca1 Ca 0.000 0.000 0.000
Ho1 Ho 0.000 0.500 0.500
Er1 Er 0.500 0.500 0.000

Entry 11:
# Nd2ZrZn, relaxed, DFT PBE-GGA
# **Total DFT energy (no corrections)**: -54.41 eV per cell
# **Volume**: 110.2 Å³/f.u.
# **N(E_F)**: 1.297 states/eV per atom
# **Distance to the lowest polymorph of the same formula**: 352 meV per atom
data_Nd2ZrZn
_chemical_formula_sum 'Nd6 Zr3 Zn3'
_cell_length_a 3.3202
_cell_length_b 3.3202
_cell_length_c 34.6247
_cell_angle_alpha 90.00
_cell_angle_beta 90.00
_cell_angle_gamma 120.00
_symmetry_space_group_name_H-M 'R -3 m'
_symmetry_Int_Tables_number 166
_symmetry_space_group_name_Hall '-R 3 2"'
loop_
_atom_site_label
_atom_site_type_symbol
_atom_site_fract_x
_atom_site_fract_y
_atom_site_fract_z
Nd1 Nd 0.0000 0.0000 0.0947
Zr1 Zr 0.0000 0.0000 0.0000
Zn1 Zn 0.0000 0.0000 0.5000

What did the fifth record say?
# BaRhAu, relaxed, DFT PBE-GGA
# **Total DFT energy (no corrections)**: -13.53 eV per cell
# **Volume**: 82.0 Å³/f.u.
# **N(E_F)**: 0.650 states/eV per atom
# **Distance to the lowest polymorph of the same formula**: 0 meV per atom
data_BaRhAu
_chemical_formula_sum 'Ba1 Rh1 Au1'
_cell_length_a 4.5210
_cell_length_b 4.5210
_cell_length_c 4.6307
_cell_angle_alpha 90.00
_cell_angle_beta 90.00
_cell_angle_gamma 120.00
_symmetry_space_group_name_H-M 'P -6 m 2'
_symmetry_Int_Tables_number 187
_symmetry_space_group_name_Hall 'P -6 2'
loop_
_atom_site_label
_atom_site_type_symbol
_atom_site_fract_x
_atom_site_fract_y
_atom_site_fract_z
Ba1 Ba 0.0000 0.0000 0.0000
Rh1 Rh 0.6667 0.3333 0.5000
Au1 Au 0.3333 0.6667 0.5000

> Which of these has the highest volume?

Ba12SrAu6